Entry 1:
{
  "formula": "NpTeAs",
  "functional": "GGA-PBE",
  "state": "optimized geometry",
  "cell": [[4.133, 0.000, 0.000], [0.000, 4.133, 0.000], [0.000, 0.000, 17.421]],
  "species": ["Np", "Np", "Np", "Np", "Te", "Te", "Te", "Te", "As", "As", "As", "As"],
  "fractional_positions": [[0.000, 0.000, 0.121], [0.000, 0.000, 0.879], [0.500, 0.500, 0.379], [0.500, 0.500, 0.621], [0.000, 0.000, 0.314], [0.000, 0.000, 0.686], [0.500, 0.500, 0.186], [0.500, 0.500, 0.814], [0.000, 0.500, 0.000], [0.000, 0.500, 0.500], [0.500, 0.000, 0.000], [0.500, 0.000, 0.500]],
  "spacegroup": "I4/mmm, No. 139",
  "dft_energy_ev_per_atom": -7.567,
  "m_tot_mub_per_cell": 13.96
}

***

Entry 2:
{
  "formula": "Sc2Ta4Si3N3",
  "functional": "GGA-PBE",
  "state": "optimized geometry",
  "cell": [[4.707, -2.724, 0.000], [4.707, 2.724, 0.000], [-3.142, 0.000, 12.993]],
  "species": ["Sc", "Sc", "Sc", "Sc", "Ta", "Ta", "Ta", "Ta", "Ta", "Ta", "Ta", "Ta", "Si", "Si", "Si", "Si", "Si", "Si", "N", "N", "N", "N", "N", "N"],
  "fractional_positions": [[0.035, 0.871, 0.605], [0.129, 0.965, 0.895], [0.871, 0.035, 0.105], [0.965, 0.129, 0.395], [0.197, 0.362, 0.089], [0.304, 0.470, 0.411], [0.362, 0.197, 0.589], [0.470, 0.304, 0.911], [0.530, 0.696, 0.089], [0.638, 0.803, 0.411], [0.696, 0.530, 0.589], [0.803, 0.638, 0.911], [0.082, 0.304, 0.750], [0.304, 0.082, 0.250], [0.477, 0.523, 0.750], [0.523, 0.477, 0.250], [0.696, 0.918, 0.750], [0.918, 0.696, 0.250], [0.000, 0.500, 0.500], [0.159, 0.682, 0.000], [0.318, 0.841, 0.500], [0.500, 0.000, 0.000], [0.682, 0.159, 0.500], [0.841, 0.318, 0.000]],
  "spacegroup": "C2/c, No. 15",
  "dft_energy_ev_per_atom": -9.306,
  "m_tot_mub_per_cell": 0.00
}

***

Entry 3:
{
  "formula": "Li4CdGePt2",
  "functional": "GGA-PBE",
  "state": "optimized geometry",
  "cell": [[4.367, 0.000, 0.000], [0.000, 4.367, 0.000], [0.000, 0.000, 6.224]],
  "species": ["Li", "Li", "Li", "Li", "Cd", "Ge", "Pt", "Pt"],
  "fractional_positions": [[0.000, 0.000, 0.000], [0.000, 0.500, 0.739], [0.500, 0.000, 0.261], [0.500, 0.500, 0.500], [0.500, 0.500, 0.000], [0.000, 0.000, 0.500], [0.000, 0.500, 0.286], [0.500, 0.000, 0.714]],
  "spacegroup": "P-4m2, No. 115",
  "dft_energy_ev_per_atom": -3.724,
  "m_tot_mub_per_cell": 0.01
}